# Ac2MgAs, relaxed, DFT GGA-PBE
# **Calculated volume**: 126.52 Å³/cell
# **D(E_F)**: 0.761 states/eV/atom
# **VASP energy**: -4.20 eV/atom
# **Magnetization**: 0.00 Bohr magnetons per cell
data_Ac2MgAs
_symmetry_space_group_name_H-M 'P 1'
_symmetry_Int_Tables_number 1
_cell_length_a 4.075
_cell_length_b 4.075
_cell_length_c 7.618
_cell_angle_alpha 90.00
_cell_angle_beta 90.00
_cell_angle_gamma 90.00
loop_
_symmetry_equiv_pos_as_xyz
'x,y,z'
loop_
_atom_site_label
_atom_site_fract_x
_atom_site_fract_y
_atom_site_fract_z
Ac1 0.000 0.000 0.230
Ac2 0.000 0.000 0.770
Mg1 0.500 0.500 0.500
As1 0.500 0.500 0.000

=====

# Li2Al2Pt3, relaxed, DFT GGA-PBE
# **Calculated volume**: 109.92 Å³/cell
# **D(E_F)**: 0.250 states/eV/atom
# **VASP energy**: -5.01 eV/atom
# **Magnetization**: 0.00 Bohr magnetons per cell
data_Li2Al2Pt3
_symmetry_space_group_name_H-M 'P 1'
_symmetry_Int_Tables_number 1
_cell_length_a 4.311
_cell_length_b 4.329
_cell_length_c 7.203
_cell_angle_alpha 91.21
_cell_angle_beta 106.25
_cell_angle_gamma 119.79
loop_
_symmetry_equiv_pos_as_xyz
'x,y,z'
loop_
_atom_site_label
_atom_site_fract_x
_atom_site_fract_y
_atom_site_fract_z
Li1 0.239 0.362 0.102
Li2 0.761 0.638 0.898
Al1 0.280 0.894 0.676
Al2 0.720 0.106 0.324
Pt1 0.030 0.760 0.289
Pt2 0.500 0.500 0.500
Pt3 0.970 0.240 0.711

=====

# MgSiAs2, relaxed, DFT GGA-PBE
# **Formation energy from raw total energies**: 0.18 eV per atom
# **Calculated volume**: 74.59 Å³/cell
# **D(E_F)**: 0.510 states/eV/atom
# **Magnetization**: 0.00 Bohr magnetons per cell
data_MgSiAs2
_symmetry_space_group_name_H-M 'P 1'
_symmetry_Int_Tables_number 1
_cell_length_a 4.896
_cell_length_b 4.896
_cell_length_c 4.896
_cell_angle_alpha 125.76
_cell_angle_beta 125.76
_cell_angle_gamma 80.29
loop_
_symmetry_equiv_pos_as_xyz
'x,y,z'
loop_
_atom_site_label
_atom_site_fract_x
_atom_site_fract_y
_atom_site_fract_z
Mg1 0.000 0.000 0.000
Si1 0.500 0.500 0.000
As1 0.250 0.750 0.500
As2 0.750 0.250 0.500